No. 1
# MnCr2W

A geometry-optimized MnCr2W structure (PBE, the Alexandria database).

- Energy: -10.226 eV/atom
- Energy relative to the lowest polymorph listed for this composition: 36 meV per atom
- Total moment: 0.916 μB per formula unit
- Energy relative to the elements: 0.12 eV/atom

a = 4.094 Å, b = 2.590 Å, c = 4.892 Å
α = 79.82°, β = 90.00°, γ = 90.00°
Site moments in Bohr magnetons follow the coordinates.
Fractional coordinates of all 4 atoms:
Cr 0.000 0.002 0.017  0.00
Cr 0.500 0.241 0.246  -0.13
Mn 0.000 0.503 0.489  1.13
W 0.500 0.754 0.748  -0.07



No. 2
# PdPt2Br6

A geometry-optimized PdPt2Br6 structure (PBE, the Alexandria database).

- Energy: -3.261 eV/atom
- Raw formation energy: -0.23 eV per atom
- Energy relative to the lowest polymorph listed for this composition: 0 meV per atom
- Total moment: 0.000 μB per formula unit

a = 9.802 Å, b = 11.707 Å, c = 11.707 Å
α = 64.53°, β = 42.98°, γ = 42.98°
Fractional coordinates of all 18 atoms:
Br 0.754 0.401 0.072
Br 0.609 0.757 0.123
Br 0.246 0.599 0.928
Br 0.894 0.544 0.679
Br 0.394 0.679 0.544
Br 0.106 0.456 0.321
Br 0.746 0.928 0.599
Br 0.254 0.072 0.401
Br 0.109 0.123 0.757
Br 0.606 0.321 0.456
Br 0.891 0.877 0.243
Br 0.391 0.243 0.877
Pt 0.394 0.461 0.711
Pt 0.106 0.289 0.539
Pt 0.894 0.711 0.461
Pt 0.606 0.539 0.289
Pd 0.250 0.177 0.823
Pd 0.750 0.823 0.177